Compound: CrIn3O6
Source: the Alexandria database
Functional: PBE+U
Structure: relaxed

Computed properties:
The energy above the most stable polymorph in this dataset comes out at 0.000 eV/f.u. The calculation puts the electronic total energy at -6.215 eV/atom.

Cell: 6.3490 6.3490 6.3490 Å, 91.20 91.20 91.20°
Closest atoms and distances in Å follow each position.
Element x y z (fractional)
Cr 0.0000 0.0000 0.0000  6 O 2.04
Cr 0.5000 0.5000 0.5000  6 O 2.02
In 0.4417 0.9322 0.7497  6 O 2.16-2.29
In 0.9322 0.7497 0.4417  6 O 2.16-2.29
In 0.2503 0.5583 0.0678  6 O 2.16-2.29
In 0.7497 0.4417 0.9322  6 O 2.16-2.29
In 0.0678 0.2503 0.5583  6 O 2.16-2.29
In 0.5583 0.0678 0.2503  6 O 2.16-2.29
O 0.3020 0.9163 0.0709  1 Cr 2.04, 3 In 2.16-2.29
O 0.0837 0.9291 0.6980  1 Cr 2.04, 3 In 2.16-2.29
O 0.5913 0.8033 0.4602  1 Cr 2.02, 3 In 2.18-2.23
O 0.9291 0.6980 0.0837  1 Cr 2.04, 3 In 2.16-2.29
O 0.4602 0.5913 0.8033  1 Cr 2.02, 3 In 2.18-2.23
O 0.1967 0.5398 0.4087  1 Cr 2.02, 3 In 2.18-2.23
O 0.8033 0.4602 0.5913  1 Cr 2.02, 3 In 2.18-2.23
O 0.5398 0.4087 0.1967  1 Cr 2.02, 3 In 2.18-2.23
O 0.0709 0.3020 0.9163  1 Cr 2.04, 3 In 2.16-2.29
O 0.4087 0.1967 0.5398  1 Cr 2.02, 3 In 2.18-2.23
O 0.9163 0.0709 0.3020  1 Cr 2.04, 3 In 2.16-2.29
O 0.6980 0.0837 0.9291  1 Cr 2.04, 3 In 2.16-2.29